! BaZnPt3, optimized geometry, DFT PBE-GGA; values from VASP
&SYSTEM
  ibrav = 0, nat = 5, ntyp = 3
/
ATOMIC_SPECIES
Ba 137.33 Ba.upf
Zn 65.41 Zn.upf
Pt 195.08 Pt.upf
CELL_PARAMETERS angstrom
5.415 0.000 0.000
0.000 5.415 0.000
0.000 0.000 5.415
ATOMIC_POSITIONS crystal
Ba 0.000 0.000 0.000
Zn 0.500 0.500 0.500
Pt 0.000 0.000 0.500
Pt 0.000 0.500 0.000
Pt 0.500 0.000 0.000
! - Total energy: -2.661 eV/atom
! - Energy above the lowest structure with this stoichiometry: 1739 meV/atom
! - Energy relative to the elements: 1.602 eV per atom